Here is a relaxed structure of Hf2ScIr3 from the Alexandria database. Energies are from PBE.

Unit cell a=4.6214 b=4.6214 c=11.2979 alpha=90.00 beta=90.00 gamma=120.00
Space group P-3m1 (No. 164)
Asymmetric unit:
Hf: 0.0000 0.0000 0.0000 x1
Hf: 0.0000 0.0000 0.5000 x1
Hf: 0.3333 0.6667 0.1699 x2
Sc: 0.3333 0.6667 0.6660 x2
Ir: 0.0000 0.0000 0.2489 x2
Ir: 0.3333 0.6667 0.4173 x2
Ir: 0.3333 0.6667 0.9197 x2

Calculated values
As for the total energy: -9.754 eV per atom. The calculation puts the magnetization at 0.00 μB/f.u.

---

Here is a relaxed structure of HfScIr from the Alexandria database. Energies are from PBE.

Unit cell a=6.387 b=6.387 c=6.387 alpha=90.00 beta=90.00 gamma=90.00
Space group F-43m (No. 216)
Asymmetric unit:
Hf: 0.000 0.000 0.000 x4
Sc: 0.000 0.000 0.500 x4
Ir: 0.250 0.250 0.250 x4

Calculated values
As for the total energy: -9.041 eV per atom. The calculation puts the magnetization at 0.00 μB/f.u.

---

Here is a relaxed structure of HfSc2Ir3 from the Alexandria database. Energies are from PBE.

Unit cell a=4.460 b=13.349 c=3.457 alpha=90.00 beta=90.00 gamma=90.00
Space group Cmmm (No. 65)
Asymmetric unit:
Hf: 0.000 0.000 0.000 x2
Sc: 0.000 0.332 0.000 x4
Ir: 0.000 0.164 0.500 x4
Ir: 0.000 0.500 0.500 x2

Calculated values
As for the total energy: -9.198 eV per atom. The calculation puts the magnetization at 0.00 μB/f.u.

---

Here is a relaxed structure of Hf2Sc2Ir3 from the Alexandria database. Energies are from PBE.

Unit cell a=7.890 b=4.567 c=7.913 alpha=90.00 beta=109.37 gamma=90.00
Space group C2/m (No. 12)
Asymmetric unit:
Hf: 0.121 0.000 0.362 x4
Sc: 0.129 0.500 0.887 x4
Ir: 0.000 0.500 0.500 x2
Ir: 0.246 0.000 0.738 x4

Calculated values
As for the total energy: -9.395 eV per atom. The calculation puts the magnetization at 0.00 μB/f.u.

---

Here is a relaxed structure of HfSc2Ir3 from the Alexandria database. Energies are from PBE.

Unit cell a=3.156 b=3.156 c=10.326 alpha=90.00 beta=90.00 gamma=90.00
Space group P4/mmm (No. 123)
Asymmetric unit:
Hf: 0.000 0.000 0.000 x1
Sc: 0.000 0.000 0.337 x2
Ir: 0.500 0.500 0.165 x2
Ir: 0.500 0.500 0.500 x1

Calculated values
As for the total energy: -9.203 eV per atom. The calculation puts the magnetization at 0.00 μB/f.u.

---

Here is a relaxed structure of HfScIr from the Alexandria database. Energies are from PBE.

Unit cell a=5.401 b=4.369 c=5.938 alpha=90.00 beta=110.73 gamma=90.00
Space group P2_1/m (No. 11)
Asymmetric unit:
Hf: 0.093 0.250 0.338 x2
Sc: 0.449 0.750 0.153 x2
Ir: 0.357 0.750 0.586 x2

Calculated values
As for the total energy: -8.960 eV per atom. The calculation puts the magnetization at 0.00 μB/f.u.

---

Here is a relaxed structure of HfScIr from the Alexandria database. Energies are from PBE.

Unit cell a=4.5174 b=4.5174 c=22.2544 alpha=90.00 beta=90.00 gamma=120.00
Space group R-3m (No. 166, hexagonal axes)
Asymmetric unit:
Hf: 0.0000 0.0000 0.1241 x6
Sc: 0.0000 0.0000 0.3740 x6
Ir: 0.0000 0.0000 0.2457 x6

Calculated values
As for the total energy: -9.062 eV per atom. The calculation puts the magnetization at 0.00 μB/f.u.

---

Here is a relaxed structure of Hf2ScIr from the Alexandria database. Energies are from PBE.

Unit cell a=6.710 b=6.710 c=6.710 alpha=90.00 beta=90.00 gamma=90.00
Space group Fm-3m (No. 225)
Asymmetric unit:
Hf: 0.250 0.250 0.250 x8
Sc: 0.000 0.000 0.000 x4
Ir: 0.000 0.000 0.500 x4

Calculated values
As for the total energy: -9.135 eV per atom. The calculation puts the magnetization at 0.00 μB/f.u.

---

Here is a relaxed structure of HfScIr3 from the Alexandria database. Energies are from PBE.

Unit cell a=4.798 b=4.798 c=4.798 alpha=90.00 beta=90.00 gamma=90.00
Space group Pm-3m (No. 221)
Asymmetric unit:
Hf: 0.000 0.000 0.000 x1
Sc: 0.500 0.500 0.500 x1
Ir: 0.000 0.000 0.500 x3

Calculated values
As for the total energy: -7.849 eV per atom. The calculation puts the magnetization at 0.00 μB/f.u.

---

Here is a relaxed structure of HfScIr from the Alexandria database. Energies are from PBE.

Unit cell a=4.419 b=11.930 c=6.899 alpha=90.00 beta=90.00 gamma=90.00
Space group Amm2 (No. 38)
Asymmetric unit:
Hf: 0.000 0.000 0.000 x2
Hf: 0.000 0.128 0.384 x4
Sc: 0.500 0.000 0.673 x2
Sc: 0.500 0.209 0.048 x4
Ir: 0.000 0.166 0.756 x4
Ir: 0.500 0.000 0.257 x2

Calculated values
As for the total energy: -9.110 eV per atom. The calculation puts the magnetization at 0.00 μB/f.u.

---

Here is a relaxed structure of HfSc3Ir from the Alexandria database. Energies are from PBE.

Unit cell a=5.003 b=5.003 c=5.003 alpha=90.00 beta=90.00 gamma=90.00
Space group Pm-3m (No. 221)
Asymmetric unit:
Hf: 0.000 0.000 0.000 x1
Sc: 0.000 0.500 0.500 x3
Ir: 0.500 0.500 0.500 x1

Calculated values
As for the total energy: -7.539 eV per atom. The calculation puts the magnetization at 0.00 μB/f.u.

---

Here is a relaxed structure of HfSc4Ir5 from the Alexandria database. Energies are from PBE.

Unit cell a=3.183 b=3.183 c=16.827 alpha=90.00 beta=90.00 gamma=90.00
Space group P4/mmm (No. 123)
Asymmetric unit:
Hf: 0.000 0.000 0.000 x1
Sc: 0.000 0.000 0.203 x2
Sc: 0.000 0.000 0.401 x2
Ir: 0.500 0.500 0.099 x2
Ir: 0.500 0.500 0.301 x2
Ir: 0.500 0.500 0.500 x1

Calculated values
As for the total energy: -8.959 eV per atom. The calculation puts the magnetization at 0.00 μB/f.u.

---

Here is a relaxed structure of HfSc5Ir6 from the Alexandria database. Energies are from PBE.

Unit cell a=4.478 b=6.794 c=13.404 alpha=90.00 beta=90.00 gamma=90.00
Space group Immm (No. 71)
Asymmetric unit:
Hf: 0.000 0.000 0.000 x2
Sc: 0.000 0.000 0.334 x4
Sc: 0.000 0.500 0.000 x2
Sc: 0.000 0.500 0.331 x4
Ir: 0.000 0.248 0.165 x8
Ir: 0.000 0.255 0.500 x4

Calculated values
As for the total energy: -8.928 eV per atom. The calculation puts the magnetization at 0.00 μB/f.u.

---

Here is a relaxed structure of HfSc3Ir from the Alexandria database. Energies are from PBE.

Unit cell a=4.916 b=4.916 c=4.916 alpha=90.00 beta=90.00 gamma=90.00
Space group Pm-3m (No. 221)
Asymmetric unit:
Hf: 0.000 0.000 0.000 x1
Sc: 0.000 0.000 0.500 x3
Ir: 0.500 0.500 0.500 x1

Calculated values
As for the total energy: -6.370 eV per atom. The calculation puts the magnetization at 0.00 μB/f.u.

---

Here is a relaxed structure of Hf2ScIr from the Alexandria database. Energies are from PBE.

Unit cell a=4.134 b=10.901 c=7.558 alpha=90.00 beta=90.00 gamma=90.00
Space group Cmcm (No. 63)
Asymmetric unit:
Hf: 0.000 0.142 0.046 x8
Sc: 0.000 0.450 0.250 x4
Ir: 0.000 0.281 0.750 x4

Calculated values
As for the total energy: -9.274 eV per atom. The calculation puts the magnetization at 0.00 μB/f.u.

---

Here is a relaxed structure of Hf2ScIr3 from the Alexandria database. Energies are from PBE.

Unit cell a=3.178 b=3.178 c=10.345 alpha=90.00 beta=90.00 gamma=90.00
Space group P4/mmm (No. 123)
Asymmetric unit:
Hf: 0.000 0.000 0.169 x2
Sc: 0.000 0.000 0.500 x1
Ir: 0.500 0.500 0.000 x1
Ir: 0.500 0.500 0.331 x2

Calculated values
As for the total energy: -9.751 eV per atom. The calculation puts the magnetization at 0.00 μB/f.u.

---

Here is a relaxed structure of Hf5ScIr6 from the Alexandria database. Energies are from PBE.

Unit cell a=8.404 b=13.180 c=4.428 alpha=90.00 beta=121.72 gamma=90.00
Space group C2/m (No. 12)
Asymmetric unit:
Hf: 0.000 0.000 0.000 x2
Hf: 0.000 0.162 0.500 x4
Hf: 0.000 0.330 0.000 x4
Sc: 0.000 0.500 0.500 x2
Ir: 0.240 0.500 0.240 x4
Ir: 0.244 0.333 0.744 x8

Calculated values
As for the total energy: -10.033 eV per atom. The calculation puts the magnetization at 0.00 μB/f.u.

---

Here is a relaxed structure of HfScIr from the Alexandria database. Energies are from PBE.

Unit cell a=3.331 b=3.331 c=10.407 alpha=90.00 beta=90.00 gamma=90.00
Space group I4mm (No. 107)
Asymmetric unit:
Hf: 0.000 0.000 0.000 x2
Sc: 0.000 0.000 0.703 x2
Ir: 0.000 0.000 0.360 x2

Calculated values
As for the total energy: -8.976 eV per atom. The calculation puts the magnetization at 0.90 μB/f.u.

---

Here is a relaxed structure of Hf2ScIr from the Alexandria database. Energies are from PBE.

Unit cell a=7.856 b=7.856 c=5.778 alpha=90.00 beta=90.00 gamma=90.00
Space group I-42d (No. 122)
Asymmetric unit:
Hf: 0.191 0.250 0.125 x8
Sc: 0.000 0.000 0.500 x4
Ir: 0.000 0.000 0.000 x4

Calculated values
As for the total energy: -8.980 eV per atom. The calculation puts the magnetization at 0.00 μB/f.u.

---

Here is a relaxed structure of SrHf2ScIr from the Alexandria database. Energies are from PBE.

Unit cell a=5.136 b=5.136 c=5.230 alpha=90.00 beta=90.00 gamma=90.00
Space group P4/mmm (No. 123)
Asymmetric unit:
Sr: 0.000 0.000 0.000 x1
Hf: 0.000 0.500 0.500 x2
Sc: 0.500 0.500 0.000 x1
Ir: 0.500 0.500 0.500 x1

Calculated values
As for the total energy: -7.376 eV per atom. The calculation puts the magnetization at 0.00 μB/f.u.

---

Here is a relaxed structure of HfScTcIr from the Alexandria database. Energies are from PBE.

Unit cell a=6.481 b=6.481 c=6.481 alpha=90.00 beta=90.00 gamma=90.00
Space group F-43m (No. 216)
Asymmetric unit:
Hf: 0.000 0.000 0.000 x4
Sc: 0.000 0.000 0.500 x4
Tc: 0.250 0.250 0.250 x4
Ir: 0.250 0.250 0.750 x4

Calculated values
As for the total energy: -9.633 eV per atom. The calculation puts the magnetization at 0.00 μB/f.u.

---

Here is a relaxed structure of HfScZnIr from the Alexandria database. Energies are from PBE.

Unit cell a=6.574 b=6.574 c=6.574 alpha=90.00 beta=90.00 gamma=90.00
Space group F-43m (No. 216)
Asymmetric unit:
Hf: 0.000 0.000 0.000 x4
Sc: 0.000 0.000 0.500 x4
Zn: 0.250 0.250 0.750 x4
Ir: 0.250 0.250 0.250 x4

Calculated values
As for the total energy: -7.247 eV per atom. The calculation puts the magnetization at 0.00 μB/f.u.

---

Here is a relaxed structure of HfIrSe3 from the Alexandria database. Energies are from PBE.

Unit cell a=5.099 b=5.099 c=5.099 alpha=90.00 beta=90.00 gamma=90.00
Space group Pm-3m (No. 221)
Asymmetric unit:
Hf: 0.000 0.000 0.000 x1
Ir: 0.500 0.500 0.500 x1
Se: 0.000 0.000 0.500 x3

Calculated values
The calculation puts the magnetization at 2.85 μB/f.u. The formation energy without anion corrections comes out at 3.0 eV/f.u.

---

Here is a relaxed structure of HfIrSe3 from the Alexandria database. Energies are from PBE.

Unit cell a=4.842 b=4.842 c=4.842 alpha=90.00 beta=90.00 gamma=90.00
Space group Pm-3m (No. 221)
Asymmetric unit:
Hf: 0.000 0.000 0.000 x1
Ir: 0.500 0.500 0.500 x1
Se: 0.000 0.500 0.500 x3

Calculated values
The calculation puts the magnetization at 0.00 μB/f.u. The formation energy without anion corrections comes out at 1.9 eV/f.u.

---

Here is a relaxed structure of HfIrSe from the Alexandria database. Energies are from PBE.

Unit cell a=4.1664 b=4.1664 c=29.0309 alpha=90.00 beta=90.00 gamma=120.00
Space group R-3m (No. 166, hexagonal axes)
Asymmetric unit:
Hf: 0.0000 0.0000 0.0606 x6
Ir: 0.0000 0.0000 0.3342 x6
Se: 0.0000 0.0000 0.2252 x6

Calculated values
The calculation puts the magnetization at 0.00 μB/f.u. The formation energy without anion corrections comes out at -2.3 eV/f.u.

---

Here is a relaxed structure of HfIr3Se from the Alexandria database. Energies are from PBE.

Unit cell a=4.584 b=4.584 c=4.584 alpha=90.00 beta=90.00 gamma=90.00
Space group Pm-3m (No. 221)
Asymmetric unit:
Hf: 0.000 0.000 0.000 x1
Ir: 0.000 0.500 0.500 x3
Se: 0.500 0.500 0.500 x1

Calculated values
The calculation puts the magnetization at 0.00 μB/f.u. The formation energy without anion corrections comes out at 3.8 eV/f.u.